Material: CdHgRu2
Method: DFT, PBE
State: optimized geometry

Lattice parameters (Å, degrees): 4.598 4.598 4.598 60.00 60.00 60.00
Sites, in units of the cell vectors:
1 Ru 0.250 0.250 0.250
2 Ru 0.750 0.750 0.750
3 Hg 0.500 0.500 0.500
4 Cd 0.000 0.000 0.000

Calculated values
Crystal system: cubic


Material: TaTlPb2
Method: DFT, PBE
State: optimized geometry

Lattice parameters (Å, degrees): 6.057 6.057 6.057 137.13 137.13 62.24
Sites, in units of the cell vectors:
1 Pb 0.000 0.000 0.000
2 Pb 0.250 0.750 0.500
3 Ta 0.500 0.500 0.000
4 Tl 0.750 0.250 0.500

Calculated values
Crystal system: tetragonal


no.,raw total energy (eV per atom)
1,-4.3306
2,-4.7027